Entry from Alexandria via LeMat-Bulk: DyZrMoO6 after structural relaxation (PBE with a Hubbard U).

Calculated values
- total DFT energy (no corrections) (eV/atom) = -8.17
- density of states at the Fermi level (states/eV/atom) = 0.308
- ρ (g/cm3) = 6.3

Cell and atoms, written as CIF:
```
data_DyZrMoO6
_chemical_formula_sum 'Dy2 Zr2 Mo2 O12'
_cell_length_a 5.4299
_cell_length_b 5.4299
_cell_length_c 9.2013
_cell_angle_alpha 90.00
_cell_angle_beta 90.00
_cell_angle_gamma 120.00
_space_group_name_H-M_alt 'P -3 1 c'
_space_group_IT_number 163
_space_group_name_Hall '-P 3 2c'
loop_
_atom_site_label
_atom_site_type_symbol
_atom_site_fract_x
_atom_site_fract_y
_atom_site_fract_z
Dy1 Dy 0.3333 0.6667 0.2500
Zr1 Zr 0.0000 0.0000 0.0000
Mo1 Mo 0.3333 0.6667 0.7500
O1 O 0.0385 0.3488 0.6283
```